[1]
Below is TbCdNi4 after structural relaxation, with properties calculated at the PBE level.

Values from the calculation:
ΔH_f (0 K)   -35 kJ per mole of atoms
Total energy   -4.99 eV per atom

Lattice parameters (Å, degrees): 4.9692 4.9692 4.9692 60.00 60.00 60.00
Atoms (fractional coordinates):
Tb1 0.0000 0.0000 0.0000
Cd1 0.2500 0.2500 0.2500
Ni1 0.1279 0.6240 0.6240
Ni2 0.6240 0.1279 0.6240
Ni3 0.6240 0.6240 0.1279
Ni4 0.6240 0.6240 0.6240

[2]
Below is ZnCdTcNi after structural relaxation, with properties calculated at the PBE level.

Values from the calculation:
ΔH_f (0 K)   34 kJ per mole of atoms
Total energy   -4.17 eV per atom

Lattice parameters (Å, degrees): 6.2204 6.2204 6.2204 90.00 90.00 90.00
Atoms (fractional coordinates):
Zn1 0.0000 0.0000 0.0000
Zn2 0.0000 0.5000 0.5000
Zn3 0.5000 0.0000 0.5000
Zn4 0.5000 0.5000 0.0000
Cd1 0.0000 0.0000 0.5000
Cd2 0.0000 0.5000 0.0000
Cd3 0.5000 0.0000 0.0000
Cd4 0.5000 0.5000 0.5000
Tc1 0.2500 0.2500 0.7500
Tc2 0.2500 0.7500 0.2500
Tc3 0.7500 0.2500 0.2500
Tc4 0.7500 0.7500 0.7500
Ni1 0.2500 0.2500 0.2500
Ni2 0.2500 0.7500 0.7500
Ni3 0.7500 0.2500 0.7500
Ni4 0.7500 0.7500 0.2500

[3]
Below is CdNiTe after structural relaxation, with properties calculated at the PBE level.

Values from the calculation:
Relative energy among the computed polymorphs   0.197 eV per atom
Total energy   -3.14 eV per atom

Lattice parameters (Å, degrees): 5.8304 3.6452 12.1002 90.00 90.00 90.00
Atoms (fractional coordinates):
Cd1 0.2409 0.2500 0.1438
Cd2 0.2591 0.7500 0.6438
Cd3 0.7409 0.2500 0.3562
Cd4 0.7591 0.7500 0.8562
Ni1 0.0921 0.2500 0.7955
Ni2 0.4079 0.7500 0.2955
Ni3 0.5921 0.2500 0.7045
Ni4 0.9079 0.7500 0.2045
Te1 0.2306 0.2500 0.4074
Te2 0.2694 0.7500 0.9074
Te3 0.7306 0.2500 0.0926
Te4 0.7694 0.7500 0.5926

[4]
Below is ThCdNi after structural relaxation, with properties calculated at the PBE level.

Values from the calculation:
ΔH_f (0 K)   -40 kJ per mole of atoms
Total energy   -5.04 eV per atom

Lattice parameters (Å, degrees): 3.6797 17.1683 4.1726 90.00 90.00 90.00
Atoms (fractional coordinates):
Th1 0.0000 0.0897 0.2500
Th2 0.0000 0.9103 0.7500
Th3 0.5000 0.4103 0.7500
Th4 0.5000 0.5897 0.2500
Cd1 0.0000 0.2912 0.2500
Cd2 0.0000 0.7088 0.7500
Cd3 0.5000 0.2088 0.7500
Cd4 0.5000 0.7912 0.2500
Ni1 0.0000 0.4525 0.2500
Ni2 0.0000 0.5475 0.7500
Ni3 0.5000 0.0475 0.7500
Ni4 0.5000 0.9525 0.2500

[5]
Below is ThCdNi after structural relaxation, with properties calculated at the PBE level.

Values from the calculation:
ΔH_f (0 K)   -20 kJ per mole of atoms
Total energy   -4.83 eV per atom

Lattice parameters (Å, degrees): 6.5583 6.5583 6.5583 90.00 90.00 90.00
Atoms (fractional coordinates):
Th1 0.0000 0.0000 0.0000
Th2 0.0000 0.5000 0.5000
Th3 0.5000 0.0000 0.5000
Th4 0.5000 0.5000 0.0000
Cd1 0.0000 0.0000 0.5000
Cd2 0.0000 0.5000 0.0000
Cd3 0.5000 0.0000 0.0000
Cd4 0.5000 0.5000 0.5000
Ni1 0.2500 0.2500 0.2500
Ni2 0.2500 0.7500 0.7500
Ni3 0.7500 0.2500 0.7500
Ni4 0.7500 0.7500 0.2500

[6]
Below is UCdNi after structural relaxation, with properties calculated at the PBE level.

Values from the calculation:
ΔH_f (0 K)   31 kJ per mole of atoms
Total energy   -5.60 eV per atom

Lattice parameters (Å, degrees): 6.3128 6.3128 6.3128 90.00 90.00 90.00
Atoms (fractional coordinates):
U1 0.0000 0.0000 0.0000
U2 0.0000 0.5000 0.5000
U3 0.5000 0.0000 0.5000
U4 0.5000 0.5000 0.0000
Cd1 0.0000 0.0000 0.5000
Cd2 0.0000 0.5000 0.0000
Cd3 0.5000 0.0000 0.0000
Cd4 0.5000 0.5000 0.5000
Ni1 0.2500 0.2500 0.2500
Ni2 0.2500 0.7500 0.7500
Ni3 0.7500 0.2500 0.7500
Ni4 0.7500 0.7500 0.2500

[7]
Below is UCd2Ni6 after structural relaxation, with properties calculated at the PBE level.

Values from the calculation:
ΔH_f (0 K)   14 kJ per mole of atoms
Total energy   -5.02 eV per atom

Lattice parameters (Å, degrees): 5.7693 5.7693 5.7693 60.00 60.00 60.00
Atoms (fractional coordinates):
U1 0.0000 0.0000 0.0000
Cd1 0.2500 0.2500 0.2500
Cd2 0.7500 0.7500 0.7500
Ni1 0.2883 0.2883 0.7117
Ni2 0.2883 0.7117 0.2883
Ni3 0.2883 0.7117 0.7117
Ni4 0.7117 0.2883 0.2883
Ni5 0.7117 0.2883 0.7117
Ni6 0.7117 0.7117 0.2883

[8]
Below is UCdNi after structural relaxation, with properties calculated at the PBE level.

Values from the calculation:
ΔH_f (0 K)   100 kJ per mole of atoms
Total energy   -4.89 eV per atom

Lattice parameters (Å, degrees): 6.6008 6.6008 6.6008 90.00 90.00 90.00
Atoms (fractional coordinates):
U1 0.0000 0.0000 0.0000
U2 0.0000 0.5000 0.5000
U3 0.5000 0.0000 0.5000
U4 0.5000 0.5000 0.0000
Cd1 0.2500 0.2500 0.7500
Cd2 0.2500 0.7500 0.2500
Cd3 0.7500 0.2500 0.2500
Cd4 0.7500 0.7500 0.7500
Ni1 0.2500 0.2500 0.2500
Ni2 0.2500 0.7500 0.7500
Ni3 0.7500 0.2500 0.7500
Ni4 0.7500 0.7500 0.2500

What did the sixth record say?
Below is UCdNi after structural relaxation, with properties calculated at the PBE level.

Values from the calculation:
ΔH_f (0 K)   31 kJ per mole of atoms
Total energy   -5.60 eV per atom

Lattice parameters (Å, degrees): 6.3128 6.3128 6.3128 90.00 90.00 90.00
Atoms (fractional coordinates):
U1 0.0000 0.0000 0.0000
U2 0.0000 0.5000 0.5000
U3 0.5000 0.0000 0.5000
U4 0.5000 0.5000 0.0000
Cd1 0.0000 0.0000 0.5000
Cd2 0.0000 0.5000 0.0000
Cd3 0.5000 0.0000 0.0000
Cd4 0.5000 0.5000 0.5000
Ni1 0.2500 0.2500 0.2500
Ni2 0.2500 0.7500 0.7500
Ni3 0.7500 0.2500 0.7500
Ni4 0.7500 0.7500 0.2500

Question: Which of these has the lowest total energy?
Answer: number 6